Material: Re2AgTe
Method: DFT, GGA-PBE
State: optimized geometry

Unit cell a=8.8962 b=8.8962 c=8.8962 alpha=19.67 beta=19.67 gamma=19.67
Fractional coordinates of all 4 atoms:
Re1 0.5050 0.5050 0.5050
Re2 0.9950 0.9950 0.9950
Te1 0.2500 0.2500 0.2500
Ag1 0.7500 0.7500 0.7500

Output
Formation energy without anion corrections (meV/atom): 964
DOS at the Fermi energy (states/eV/atom): 1.07
SG: R-3m

Material: ReAg2Te
Method: DFT, GGA-PBE
State: optimized geometry

Unit cell a=7.9270 b=7.9270 c=6.1956 alpha=50.23 beta=50.23 gamma=90.00
Last column: magnetic moment on the atom in μB.
Fractional coordinates of all 8 atoms:
Ag1 0.1131 0.6250 0.2500  0.01
Ag2 0.3750 0.3631 0.7500  0.01
Ag3 0.8750 0.8869 0.7500  0.03
Ag4 0.6369 0.1250 0.2500  0.01
Te1 0.5000 0.5000 0.0000  0.02
Te2 0.2500 0.7500 0.5000  0.02
Re1 0.7500 0.2500 0.5000  1.16
Re2 0.0000 0.0000 0.0000  1.16

Output
Formation energy without anion corrections (meV/atom): 968
DOS at the Fermi energy (states/eV/atom): 0.98
SG: I-42d